[1]
Here is an optimized crystal structure of NdHo2Sc from the Alexandria database. Energies are from GGA-PBE.

Lattice parameters (Å, degrees): 3.5110 3.5110 11.5347 81.25 81.25 60.00
Sites, in units of the cell vectors:
Sc: 0.0000 0.0000 0.0000
Nd: 0.5000 0.5000 0.5000
Ho: 0.7458 0.7458 0.7627
Ho: 0.2542 0.2542 0.2373

## Properties
DOS(E_F) in states/eV/f.u.: 5.88
Space-group type: R-3m (166)
Energy of formation from the pure elements in meV per atom: 49

[2]
Here is an optimized crystal structure of Cs4YAg3Cl12 from the Alexandria database. Energies are from GGA-PBE.

Lattice parameters (Å, degrees): 9.2180 9.2180 9.2180 109.47 109.47 109.47
Sites, in units of the cell vectors:
Cs: 0.5000 0.5000 0.5000
Cs: 0.0000 0.0000 0.5000
Cs: 0.5000 0.0000 0.0000
Cs: 0.0000 0.5000 0.0000
Y: 0.0000 0.0000 0.0000
Ag: 0.5000 0.0000 0.5000
Ag: 0.5000 0.5000 0.0000
Ag: 0.0000 0.5000 0.5000
Cl: 0.2500 0.5000 0.7500
Cl: 0.7541 0.0000 0.7541
Cl: 0.2459 0.0000 0.2459
Cl: 0.7500 0.5000 0.2500
Cl: 0.7541 0.7541 0.0000
Cl: 0.2459 0.2459 0.0000
Cl: 0.7500 0.2500 0.5000
Cl: 0.2500 0.7500 0.5000
Cl: 0.5000 0.2500 0.7500
Cl: 0.0000 0.7541 0.7541
Cl: 0.5000 0.7500 0.2500
Cl: 0.0000 0.2459 0.2459

## Properties
DOS(E_F) in states/eV/f.u.: 5.22
Space-group type: Im-3m (229)
Uncorrected energy in eV/atom: -3.48

[3]
Here is an optimized crystal structure of K2TlCdPd from the Alexandria database. Energies are from GGA-PBE.

Lattice parameters (Å, degrees): 6.6674 5.1239 6.6674 90.00 90.00 90.00
Sites, in units of the cell vectors:
Tl: 0.0000 0.0000 0.0000
K: 0.0000 0.0000 0.5000
K: 0.5000 0.0000 0.0000
Pd: 0.0000 0.5000 0.0000
Cd: 0.5000 0.5000 0.5000

## Properties
DOS(E_F) in states/eV/f.u.: 6.25
Space-group type: P4/mmm (123)
Energy of formation from the pure elements in meV per atom: 223